A geometry-optimized LaEuZnGe structure, computed with GGA-PBE.

Uncorrected energy   -5.7810 eV per atom
Mass density   6.8 Mg/m³
Formation enthalpy at 0 K   -49 kJ/mol of atoms
Total moment   1.900 μB per atom
Space group   No. 216

Lattice parameters (Å, degrees): 5.289 5.289 5.289 60.00 60.00 60.00
Last column: magnetic moment on the atom in μB.
Sites, in units of the cell vectors:
Eu1 0.000 0.000 0.000  6.88
Ge1 0.250 0.250 0.250  -0.05
Zn1 0.750 0.750 0.750  0.05
La1 0.500 0.500 0.500  0.16

=====

A geometry-optimized LiSiPt5 structure, computed with GGA-PBE.

Uncorrected energy   -5.7613 eV per atom
Mass density   15.2 Mg/m³
Total moment   0.000 μB per atom
Space group   No. 74

Lattice parameters (Å, degrees): 7.169 7.169 11.034 39.74 39.74 44.15
Sites, in units of the cell vectors:
Li1 0.000 0.000 0.000
Li2 0.000 0.000 0.500
Si1 0.730 0.270 0.250
Si2 0.270 0.730 0.750
Pt1 0.696 0.694 0.185
Pt2 0.307 0.304 0.575
Pt3 0.694 0.696 0.685
Pt4 0.148 0.852 0.250
Pt5 0.696 0.693 0.925
Pt6 0.304 0.307 0.075
Pt7 0.852 0.148 0.750
Pt8 0.306 0.304 0.315
Pt9 0.693 0.696 0.425
Pt10 0.304 0.306 0.815

=====

A geometry-optimized Tc2W2Br structure, computed with GGA-PBE.

Energy relative to the lowest polymorph listed for this composition   0.000 eV/atom
Uncorrected energy   -9.0606 eV per atom
Mass density   12.2 Mg/m³
Total moment   0.000 μB per atom
Space group   No. 127

Lattice parameters (Å, degrees): 7.644 7.644 2.993 90.00 90.00 90.00
Sites, in units of the cell vectors:
Br1 0.000 0.000 0.000
Br2 0.500 0.500 0.000
Tc1 0.140 0.640 0.500
Tc2 0.640 0.860 0.500
Tc3 0.860 0.360 0.500
Tc4 0.360 0.140 0.500
W1 0.356 0.856 0.000
W2 0.856 0.644 0.000
W3 0.644 0.144 0.000
W4 0.144 0.356 0.000

=====

A geometry-optimized HfNbCu structure, computed with GGA-PBE.

Energy relative to the lowest polymorph listed for this composition   0.000 eV/atom
Uncorrected energy   -8.1597 eV per atom
Mass density   10.6 Mg/m³
Formation enthalpy at 0 K   -12 kJ/mol of atoms
Total moment   0.000 μB per atom
Space group   No. 129

Lattice parameters (Å, degrees): 3.338 3.340 9.385 90.01 90.01 90.00
Sites, in units of the cell vectors:
Hf1 0.872 0.291 0.484
Hf2 0.373 0.791 0.028
Nb1 0.873 0.291 0.839
Nb2 0.373 0.791 0.673
Cu1 0.872 0.291 0.188
Cu2 0.372 0.791 0.324

=====

A geometry-optimized ZrFe2Si structure, computed with GGA-PBE.

Uncorrected energy   -7.9343 eV per atom
Mass density   6.8 Mg/m³
Total moment   0.718 μB per atom
Space group   No. 44

Lattice parameters (Å, degrees): 4.973 4.973 4.973 142.68 129.93 64.08
Last column: magnetic moment on the atom in μB.
Sites, in units of the cell vectors:
Fe1 0.984 0.984 0.000  1.86
Fe2 0.746 0.246 0.500  1.49
Si1 0.521 0.521 0.000  -0.01
Zr1 0.248 0.748 0.500  -0.31

=====

> The highest total moment belongs to which entry?

LaEuZnGe

=====

Copy entry 2 word for word.
A geometry-optimized LiSiPt5 structure, computed with GGA-PBE.

Uncorrected energy   -5.7613 eV per atom
Mass density   15.2 Mg/m³
Total moment   0.000 μB per atom
Space group   No. 74

Lattice parameters (Å, degrees): 7.169 7.169 11.034 39.74 39.74 44.15
Sites, in units of the cell vectors:
Li1 0.000 0.000 0.000
Li2 0.000 0.000 0.500
Si1 0.730 0.270 0.250
Si2 0.270 0.730 0.750
Pt1 0.696 0.694 0.185
Pt2 0.307 0.304 0.575
Pt3 0.694 0.696 0.685
Pt4 0.148 0.852 0.250
Pt5 0.696 0.693 0.925
Pt6 0.304 0.307 0.075
Pt7 0.852 0.148 0.750
Pt8 0.306 0.304 0.315
Pt9 0.693 0.696 0.425
Pt10 0.304 0.306 0.815